(1)
Material: Al2CrAg
Method: DFT, PBE
State: relaxed

ΔE_f, eV/atom: 0.053
Total energy, eV/atom: -4.9367
Energy above the lowest structure with this stoichiometry, meV/atom: 113
Spin magnetization, μB per cell: 2.284
Symmetry: Imm2

The structure in POSCAR format:
```
Al2CrAg
1.0
-2.8855 -4.2166 1.1788
0.0234 -1.8361 4.9115
-0.9211 4.2399 -2.9445
Al Ag Cr
2 1 1
Cartesian
-2.8584 -6.0449 6.0825
-1.1893 -0.3642 2.5593
-2.6166 -1.4969 0.6351
-1.4119 -2.9859 3.0044
```

***

(2)
Material: PrGa4CuPd2
Method: DFT, PBE
State: relaxed

ΔE_f, eV/atom: -0.538
Total energy, eV/atom: -4.4586
Spin magnetization, μB per cell: 0.000
Symmetry: R-3m

The structure in POSCAR format:
```
PrGa4CuPd2
1.0
4.3060 0.0000 0.0000
2.1530 3.7291 0.0000
2.1530 1.2430 8.8524
Ga Cu Pd Pr
4 1 2 1
Cartesian
4.3060 2.4861 7.0405
4.3060 2.4861 1.8120
2.1530 1.2430 5.3610
6.4590 3.7291 3.4914
4.3060 2.4861 4.4262
6.4590 3.7291 6.2526
2.1530 1.2430 2.5998
0.0000 0.0000 0.0000
```

***

(3)
Material: LaZnRh
Method: DFT, PBE
State: relaxed

ΔE_f, eV/atom: -0.684
Total energy, eV/atom: -5.2017
Spin magnetization, μB per cell: 0.001
Symmetry: Pnma

The structure in POSCAR format:
```
LaZnRh
1.0
-3.9744 0.0466 0.8718
-0.7043 -6.8421 -2.8447
3.1955 -6.5305 14.9163
La Rh Zn
8 8 8
Cartesian
-1.3607 -11.1596 8.6381
-0.7964 -8.1720 11.0505
-0.1225 -2.1665 4.3054
-0.6868 -5.1541 1.8930
-1.4237 -5.8651 8.0674
-0.9242 -1.5530 0.6182
-0.5590 -11.7730 12.3253
-0.0594 -7.4610 4.8761
1.0194 -6.1605 9.7245
-1.3059 -5.4872 -0.9115
1.0845 -10.4342 10.2496
0.2248 -4.4745 6.0119
-2.5026 -7.1655 3.2190
-2.5676 -2.8918 2.6939
-0.1773 -7.8389 13.8551
-1.7079 -8.8515 6.9317
1.6360 -6.4081 12.5485
-2.1232 -4.8125 4.8223
0.6401 -8.5135 8.1212
0.0921 -10.4748 5.7280
-3.1191 -6.9180 0.3950
-3.1431 -3.7880 0.1186
1.6599 -9.5380 12.8249
-1.5753 -2.8513 7.2155
```